Sr2FeBr | PBE-GGA | optimized geometry

Cell lengths 3.6747, 5.7066, 5.7234 Å; angles 90.00, 90.00, 90.00 degrees
Last column: nearest neighbours and their distance in Å.
Space group Pmmm (No. 47)
Inequivalent atoms, fractional coordinates:
Sr: 0.0000 0.0000 0.0000 [1 per cell]  4 Br 3.39, 4 Fe 3.40, 2 Sr 3.67
Sr: 0.0000 0.5000 0.5000 [1 per cell]  4 Fe 3.39, 4 Br 3.40, 2 Sr 3.67
Fe: 0.5000 0.0000 0.5000 [1 per cell]  8 Sr 3.39-3.40, 2 Fe 3.67
Br: 0.5000 0.5000 0.0000 [1 per cell]  8 Sr 3.39-3.40, 2 Br 3.67

Results
Raw formation energy   -0.184 eV per atom
Energy relative to the lowest polymorph listed for this composition   0.115 eV/atom